[1]
## Ac2Pr12Sm5 (PBE-GGA)

Data for a geometry-optimized Ac2Pr12Sm5 structure.

Cell lengths 11.975, 11.085, 6.404 Å; angles 101.37, 90.00, 122.69 degrees
Atoms (fractional coordinates):
1 Sm 0.786 0.571 0.462
2 Sm 0.000 0.000 0.500
3 Sm 0.673 0.347 0.857
4 Sm 0.327 0.653 0.143
5 Sm 0.214 0.429 0.538
6 Pr 0.354 0.207 0.605
7 Pr 0.946 0.406 0.205
8 Pr 0.646 0.793 0.395
9 Pr 0.460 0.406 0.205
10 Pr 0.054 0.594 0.795
11 Pr 0.147 0.793 0.395
12 Pr 0.540 0.594 0.795
13 Pr 0.440 0.880 0.718
14 Pr 0.853 0.207 0.605
15 Pr 0.130 0.259 0.986
16 Pr 0.560 0.120 0.282
17 Pr 0.870 0.741 0.014
18 Ac 0.778 0.000 0.000
19 Ac 0.222 0.000 0.000

Properties
N(E_F) = 28.1 states/eV/f.u.
Symmetry = C2/m (12)
Excess energy over the best structure of this formula in the dataset = 0 meV/atom
ΔH_f (0 K) = 1.8 eV per formula unit

[2]
## AcPr8Sm6 (PBE-GGA)

Data for a geometry-optimized AcPr8Sm6 structure.

Cell lengths 9.567, 9.567, 8.796 Å; angles 57.05, 57.05, 60.00 degrees
Atoms (fractional coordinates):
1 Sm 0.269 0.551 0.074
2 Sm 0.731 0.449 0.926
3 Sm 0.106 0.269 0.074
4 Sm 0.449 0.894 0.926
5 Sm 0.551 0.106 0.074
6 Sm 0.894 0.731 0.926
7 Pr 0.573 0.573 0.282
8 Pr 0.653 0.774 0.491
9 Pr 0.427 0.427 0.718
10 Pr 0.347 0.226 0.509
11 Pr 0.082 0.653 0.491
12 Pr 0.774 0.082 0.491
13 Pr 0.226 0.918 0.509
14 Pr 0.918 0.347 0.509
15 Ac 0.000 0.000 0.000

Properties
N(E_F) = 23.1 states/eV/f.u.
Symmetry = R-3 (148)
Excess energy over the best structure of this formula in the dataset = 0 meV/atom
ΔH_f (0 K) = 2.2 eV per formula unit

[3]
## Ac2Pr7Sm3 (PBE-GGA)

Data for a geometry-optimized Ac2Pr7Sm3 structure.

Cell lengths 3.734, 6.064, 19.934 Å; angles 93.41, 90.00, 90.00 degrees
Atoms (fractional coordinates):
1 Pr 0.500 0.742 0.466
2 Pr 0.500 0.174 0.172
3 Pr 0.500 0.826 0.828
4 Pr 0.000 0.672 0.140
5 Pr 0.000 0.000 0.000
6 Pr 0.000 0.328 0.860
7 Pr 0.500 0.258 0.534
8 Sm 0.500 0.500 0.000
9 Sm 0.000 0.213 0.372
10 Sm 0.000 0.787 0.628
11 Ac 0.500 0.301 0.705
12 Ac 0.500 0.699 0.295

Properties
N(E_F) = 15.7 states/eV/f.u.
Symmetry = P2/m (10)
Excess energy over the best structure of this formula in the dataset = 18 meV/atom
ΔH_f (0 K) = 1.2 eV per formula unit